A) {"formula": "MgSnSe2N", "functional": "PBE", "state": "relaxed", "space_group": "No. 123", "vol_a3_per_atom": 23.30, "rho_g_cm3": 4.5, "dos_at_fermi_per_ev_cell": 2.20, "magmom_total_mub_per_cell": 1.22, "lattice": [[-3.675, 3.906, 0.330], [-2.148, -2.386, 4.309], [2.462, 2.114, 2.398]], "species": ["Se", "Se", "Sn", "N", "Mg"], "frac_coords": [[0.000, 0.500, 0.000], [0.500, 0.000, 0.000], [0.000, 0.000, 0.000], [0.000, 0.000, 0.500], [0.500, 0.500, 0.500]]}


B) {"formula": "MgSnSe2N", "functional": "PBE", "state": "relaxed", "space_group": "No. 123", "vol_a3_per_atom": 22.43, "rho_g_cm3": 4.7, "dos_at_fermi_per_ev_cell": 5.06, "magmom_total_mub_per_cell": 2.36, "lattice": [[5.262, 0.000, 0.000], [0.000, 5.262, 0.000], [0.000, 0.000, 4.050]], "species": ["Mg", "Se", "Se", "Sn", "N"], "frac_coords": [[0.000, 0.000, 0.000], [0.000, 0.500, 0.000], [0.500, 0.000, 0.000], [0.500, 0.500, 0.500], [0.000, 0.000, 0.500]]}


Most stable to least stable, the ends of the list are B) and A).


A) {"formula": "MgTaSe2N", "functional": "PBE", "state": "relaxed", "space_group": "No. 123", "vol_a3_per_atom": 18.84, "rho_g_cm3": 6.6, "dos_at_fermi_per_ev_cell": 3.20, "magmom_total_mub_per_cell": 0.09, "lattice": [[-1.832, -0.575, -4.598], [1.480, -4.758, 0.005], [-3.344, -1.038, 1.462]], "species": ["Ta", "Mg", "Se", "Se", "N"], "frac_coords": [[0.500, 0.500, 0.500], [0.000, 0.000, 0.000], [0.500, 0.000, 0.000], [0.000, 0.500, 0.000], [0.000, 0.000, 0.500]]}


B) {"formula": "MgTaSe2N", "functional": "PBE", "state": "relaxed", "space_group": "No. 123", "vol_a3_per_atom": 20.97, "rho_g_cm3": 6.0, "dos_at_fermi_per_ev_cell": 1.60, "magmom_total_mub_per_cell": 0.00, "lattice": [[-0.567, 0.597, -5.125], [-3.414, -3.909, -0.078], [-2.901, 2.522, 0.614]], "species": ["N", "Ta", "Se", "Se", "Mg"], "frac_coords": [[0.000, 0.000, 0.500], [0.000, 0.000, 0.000], [0.500, 0.000, 0.000], [0.000, 0.500, 0.000], [0.500, 0.500, 0.500]]}


Most stable to least stable, the ends of the list are B) and A).


A) {"formula": "MgTcSeN2", "functional": "PBE", "state": "relaxed", "space_group": "No. 123", "vol_a3_per_atom": 16.15, "rho_g_cm3": 4.7, "dos_at_fermi_per_ev_cell": 4.02, "magmom_total_mub_per_cell": 0.00, "lattice": [[3.835, 0.000, 0.000], [0.000, 3.835, 0.000], [0.000, 0.000, 5.492]], "species": ["Se", "N", "N", "Tc", "Mg"], "frac_coords": [[0.000, 0.000, 0.500], [0.000, 0.500, 0.000], [0.500, 0.000, 0.000], [0.000, 0.000, 0.000], [0.500, 0.500, 0.500]]}


B) {"formula": "MgTcSeN2", "functional": "PBE", "state": "relaxed", "space_group": "No. 123", "vol_a3_per_atom": 15.00, "rho_g_cm3": 5.1, "dos_at_fermi_per_ev_cell": 5.28, "magmom_total_mub_per_cell": 1.46, "lattice": [[3.847, 0.000, 0.000], [0.000, 3.847, 0.000], [0.000, 0.000, 5.069]], "species": ["Tc", "Mg", "Se", "N", "N"], "frac_coords": [[0.500, 0.500, 0.500], [0.000, 0.000, 0.000], [0.000, 0.000, 0.500], [0.500, 0.000, 0.000], [0.000, 0.500, 0.000]]}


Most stable to least stable, the ends of the list are A) and B).


A) {"formula": "MgTcSe2N", "functional": "PBE", "state": "relaxed", "space_group": "No. 123", "vol_a3_per_atom": 20.23, "rho_g_cm3": 4.8, "dos_at_fermi_per_ev_cell": 3.27, "magmom_total_mub_per_cell": 5.70, "lattice": [[5.112, 0.000, 0.000], [0.000, 5.112, 0.000], [0.000, 0.000, 3.871]], "species": ["Tc", "Se", "Se", "Mg", "N"], "frac_coords": [[0.500, 0.500, 0.500], [0.000, 0.500, 0.000], [0.500, 0.000, 0.000], [0.000, 0.000, 0.000], [0.000, 0.000, 0.500]]}


B) {"formula": "MgTcSe2N", "functional": "PBE", "state": "relaxed", "space_group": "No. 123", "vol_a3_per_atom": 19.37, "rho_g_cm3": 5.0, "dos_at_fermi_per_ev_cell": 2.66, "magmom_total_mub_per_cell": 0.00, "lattice": [[5.112, 0.000, 0.000], [0.000, 5.112, 0.000], [0.000, 0.000, 3.706]], "species": ["Mg", "N", "Se", "Se", "Tc"], "frac_coords": [[0.500, 0.500, 0.500], [0.000, 0.000, 0.500], [0.500, 0.000, 0.000], [0.000, 0.500, 0.000], [0.000, 0.000, 0.000]]}


Most stable to least stable, the ends of the list are B) and A).


A) {"formula": "MgTiSe2N", "functional": "PBE", "state": "relaxed", "space_group": "No. 123", "vol_a3_per_atom": 19.82, "rho_g_cm3": 4.1, "dos_at_fermi_per_ev_cell": 3.03, "magmom_total_mub_per_cell": 0.67, "lattice": [[5.135, 0.000, 0.000], [0.000, 5.135, 0.000], [0.000, 0.000, 3.759]], "species": ["Mg", "Se", "Se", "N", "Ti"], "frac_coords": [[0.500, 0.500, 0.500], [0.500, 0.000, 0.000], [0.000, 0.500, 0.000], [0.000, 0.000, 0.500], [0.000, 0.000, 0.000]]}


B) {"formula": "MgTiSe2N", "functional": "PBE", "state": "relaxed", "space_group": "No. 123", "vol_a3_per_atom": 19.93, "rho_g_cm3": 4.1, "dos_at_fermi_per_ev_cell": 5.80, "magmom_total_mub_per_cell": 3.03, "lattice": [[5.085, 0.000, 0.000], [0.000, 5.085, 0.000], [0.000, 0.000, 3.854]], "species": ["N", "Mg", "Ti", "Se", "Se"], "frac_coords": [[0.000, 0.000, 0.500], [0.000, 0.000, 0.000], [0.500, 0.500, 0.500], [0.000, 0.500, 0.000], [0.500, 0.000, 0.000]]}


Most stable to least stable, the ends of the list are A) and B).


A) {"formula": "MgTlSe2N", "functional": "PBE", "state": "relaxed", "space_group": "No. 123", "vol_a3_per_atom": 25.87, "rho_g_cm3": 5.1, "dos_at_fermi_per_ev_cell": 2.98, "magmom_total_mub_per_cell": 2.07, "lattice": [[5.497, 0.000, 0.000], [0.000, 5.497, 0.000], [0.000, 0.000, 4.280]], "species": ["N", "Mg", "Se", "Se", "Tl"], "frac_coords": [[0.000, 0.000, 0.500], [0.500, 0.500, 0.500], [0.000, 0.500, 0.000], [0.500, 0.000, 0.000], [0.000, 0.000, 0.000]]}


B) {"formula": "MgTlSe2N", "functional": "PBE", "state": "relaxed", "space_group": "No. 123", "vol_a3_per_atom": 23.35, "rho_g_cm3": 5.7, "dos_at_fermi_per_ev_cell": 5.45, "magmom_total_mub_per_cell": 2.67, "lattice": [[-2.303, -4.286, -2.219], [0.255, -2.563, 4.686], [-3.679, 1.460, 0.998]], "species": ["Se", "Se", "N", "Tl", "Mg"], "frac_coords": [[0.000, 0.500, 0.000], [0.500, 0.000, 0.000], [0.000, 0.000, 0.500], [0.500, 0.500, 0.500], [0.000, 0.000, 0.000]]}


Most stable to least stable, the ends of the list are B) and A).


A) {"formula": "MgWSeN2", "functional": "PBE", "state": "relaxed", "space_group": "No. 123", "vol_a3_per_atom": 14.50, "rho_g_cm3": 7.2, "dos_at_fermi_per_ev_cell": 3.64, "magmom_total_mub_per_cell": 0.00, "lattice": [[-2.267, 3.096, -0.293], [-2.976, -2.265, -0.906], [-1.147, -0.390, 4.744]], "species": ["N", "N", "Se", "Mg", "W"], "frac_coords": [[0.000, 0.500, 0.000], [0.500, 0.000, 0.000], [0.000, 0.000, 0.500], [0.000, 0.000, 0.000], [0.500, 0.500, 0.500]]}


B) {"formula": "MgWSeN2", "functional": "PBE", "state": "relaxed", "space_group": "No. 123", "vol_a3_per_atom": 16.33, "rho_g_cm3": 6.4, "dos_at_fermi_per_ev_cell": 1.80, "magmom_total_mub_per_cell": 0.00, "lattice": [[-0.136, -2.693, -2.834], [-1.653, -2.531, 2.483], [-4.831, 1.750, -1.432]], "species": ["Se", "N", "N", "W", "Mg"], "frac_coords": [[0.000, 0.000, 0.500], [0.500, 0.000, 0.000], [0.000, 0.500, 0.000], [0.000, 0.000, 0.000], [0.500, 0.500, 0.500]]}


Most stable to least stable, the ends of the list are B) and A).


A) {"formula": "MgZnSe2N", "functional": "PBE", "state": "relaxed", "space_group": "No. 123", "vol_a3_per_atom": 21.29, "rho_g_cm3": 4.1, "dos_at_fermi_per_ev_cell": 4.57, "magmom_total_mub_per_cell": 2.38, "lattice": [[5.173, 0.000, 0.000], [0.000, 5.173, 0.000], [0.000, 0.000, 3.978]], "species": ["Se", "Se", "Zn", "N", "Mg"], "frac_coords": [[0.500, 0.000, 0.000], [0.000, 0.500, 0.000], [0.500, 0.500, 0.500], [0.000, 0.000, 0.500], [0.000, 0.000, 0.000]]}


B) {"formula": "MgZnSe2N", "functional": "PBE", "state": "relaxed", "space_group": "No. 123", "vol_a3_per_atom": 20.06, "rho_g_cm3": 4.3, "dos_at_fermi_per_ev_cell": 3.53, "magmom_total_mub_per_cell": 2.22, "lattice": [[5.182, 0.000, 0.000], [0.000, 5.182, 0.000], [0.000, 0.000, 3.736]], "species": ["Se", "Se", "Mg", "N", "Zn"], "frac_coords": [[0.000, 0.500, 0.000], [0.500, 0.000, 0.000], [0.500, 0.500, 0.500], [0.000, 0.000, 0.500], [0.000, 0.000, 0.000]]}


Most stable to least stable, the ends of the list are B) and A).